No. 1
A plane-wave DFT calculation with GGA-PBE was carried out for an optimized crystal structure of Pu4Bi3H4.

Calculated values
E above lowest polymorph, meV/atom: 0
D(E_F), states/eV/f.u.: 43.7

a b c (Å): 6.6041 6.6041 6.6041
angles (deg): 109.47 109.47 109.47
Closest atoms and distances in Å follow each position.
Atoms (fractional coordinates):
Pu (0.0000, 0.6449, 0.0000)  4 H 2.37-2.64
Pu (0.6449, 0.0000, 0.0000)  4 H 2.37-2.64
Pu (0.0000, 0.0000, 0.6449)  4 H 2.37-2.64
Pu (0.3551, 0.3551, 0.3551)  4 H 2.37-2.64
H (0.0000, 0.2458, 0.0000)  4 Pu 2.37-2.64
H (0.7542, 0.7542, 0.7542)  4 Pu 2.37-2.64
H (0.2458, 0.0000, 0.0000)  4 Pu 2.37-2.64
H (0.0000, 0.0000, 0.2458)  4 Pu 2.37-2.64
Bi (0.5000, 0.0000, 0.5000)  4 Pu 3.12, 4 H 3.17
Bi (0.0000, 0.5000, 0.5000)  4 Pu 3.12, 4 H 3.17
Bi (0.5000, 0.5000, 0.0000)  4 Pu 3.12, 4 H 3.17

No. 2
A plane-wave DFT calculation with GGA-PBE was carried out for an optimized crystal structure of Be3ReRu.

Calculated values
DFT formation energy, eV per atom: 1.284
E above lowest polymorph, meV/atom: 306
D(E_F), states/eV/f.u.: 5.2

a b c (Å): 4.0896 4.0896 4.0896
angles (deg): 90.00 90.00 90.00
Closest atoms and distances in Å follow each position.
Atoms (fractional coordinates):
Be (0.0000, 0.0000, 0.5000)  2 Re 2.04
Be (0.0000, 0.5000, 0.0000)  2 Re 2.04
Be (0.5000, 0.0000, 0.0000)  2 Re 2.04
Re (0.0000, 0.0000, 0.0000)  6 Be 2.04
Ru (0.5000, 0.5000, 0.5000)  12 Be 2.89

Q: Among the records above, which one has the lowest E above lowest polymorph?
A: Pu4Bi3H4

Q: What is the E above lowest polymorph in the first record?
A: 0 meV/atom

Q: Which of these has the lowest E above lowest polymorph?
A: Pu4Bi3H4